# 1
Density functional theory data (PBE) for a geometry-optimized Sr2MnV structure.

Unit cell a=8.666 b=8.666 c=6.649 alpha=90.00 beta=90.00 gamma=90.00
Fractional positions:
Sr 0.244 0.250 0.125
Sr 0.250 0.744 0.375
Sr 0.250 0.756 0.875
Sr 0.256 0.250 0.625
Sr 0.744 0.750 0.625
Sr 0.750 0.244 0.875
Sr 0.750 0.256 0.375
Sr 0.756 0.750 0.125
Mn 0.000 0.000 0.000
Mn 0.000 0.500 0.250
Mn 0.500 0.000 0.750
Mn 0.500 0.500 0.500
V 0.000 0.000 0.500
V 0.000 0.500 0.750
V 0.500 0.000 0.250
V 0.500 0.500 0.000

***

# 2
Density functional theory data (PBE) for a geometry-optimized CaLa3Ru structure.

Unit cell a=7.354 b=7.354 c=6.787 alpha=90.00 beta=90.00 gamma=108.49
Fractional positions:
Ca 0.069 0.931 0.750
Ca 0.931 0.069 0.250
La 0.020 0.591 0.250
La 0.409 0.980 0.250
La 0.500 0.500 0.000
La 0.500 0.500 0.500
La 0.591 0.020 0.750
La 0.980 0.409 0.750
Ru 0.311 0.689 0.750
Ru 0.689 0.311 0.250

***

Q: Which energy relative to the lowest polymorph listed for this composition values were calculated for the entries above? A: 242 134, in meV per atom.
Q: Which N(E_F) values were calculated for the entries above? A: 21.5 12.5, in states/eV per cell.
Q: Which energy of formation from the pure elements values were calculated for the entries above? A: 1.1061 -0.0369, in eV/atom.